No. 1
ZrBeCl2 GGA-PBEsol optimized geometry; formation energy from raw total energies = -0.770 eV per atom; distance to the lowest polymorph of the same formula = 0 meV per atom; calculated density = 3.58 g/cm³; total magnetization = 0.00 μB per formula unit; SG = Cmm2 (35); E_tot = -5.046 eV/atom
1.0
-0.229 2.666 -1.781
-2.703 -1.388 1.049
0.314 4.879 7.266
Be Zr Cl
1 1 2
Direct
0.500 0.500 0.235 Be
0.000 0.000 0.473 Zr
0.000 0.000 0.095 Cl
0.500 0.500 0.697 Cl

No. 2
SrHfS2 GGA-PBEsol optimized geometry; formation energy from raw total energies = -1.037 eV per atom; calculated density = 4.79 g/cm³; total magnetization = 0.00 μB per formula unit; SG = R-3m (166); E_tot = -6.314 eV/atom
1.0
4.040 0.000 0.000
2.020 3.498 0.000
2.020 1.166 8.097
Sr S Hf
1 2 1
Direct
0.500 0.500 0.500 Sr
0.903 0.903 0.292 S
0.097 0.097 0.708 S
0.000 0.000 0.000 Hf

No. 3
CrSbRh GGA-PBEsol optimized geometry; formation energy from raw total energies = 0.092 eV per atom; calculated density = 9.25 g/cm³; total magnetization = 3.28 μB per formula unit; SG = P-6m2 (187); E_tot = -7.554 eV/atom
1.0
-1.892 2.287 -0.464
-2.389 -1.282 3.426
3.281 2.829 0.562
Cr Rh Sb
1 1 1
Direct
0.000 0.000 0.000 Cr
0.500 0.667 0.333 Rh
0.500 0.333 0.667 Sb

No. 4
AuN GGA-PBEsol optimized geometry; formation energy from raw total energies = 1.609 eV per atom; calculated density = 12.00 g/cm³; total magnetization = 0.00 μB per formula unit; SG = F-43m (216); E_tot = -4.617 eV/atom
1.0
3.456 0.000 0.000
1.728 2.993 0.000
1.728 0.998 2.822
Au N
1 1
Direct
0.000 0.000 0.000 Au
0.750 0.750 0.750 N

No. 5
Li2ZrIn GGA-PBEsol optimized geometry; formation enthalpy at 0 K = 0.003 eV/atom; calculated density = 4.42 g/cm³; total magnetization = 0.00 μB per formula unit; SG = Immm (71); E_tot = -3.998 eV/atom
1.0
2.913 0.000 0.000
0.000 5.276 0.000
-1.457 -2.638 5.380
In Li Zr
1 2 1
Direct
0.000 0.500 0.000 In
0.729 0.729 0.458 Li
0.271 0.271 0.542 Li
0.500 0.000 0.000 Zr

No. 6
BIF2 GGA-PBEsol optimized geometry; formation energy from raw total energies = -0.904 eV per atom; calculated density = 3.36 g/cm³; total magnetization = 0.00 μB per formula unit; SG = R-3m (166); E_tot = -4.063 eV/atom
1.0
-0.608 0.900 -3.043
-0.180 -2.224 -2.337
-9.674 -1.367 -0.186
I B F
1 1 2
Direct
0.500 0.500 0.500 I
0.000 0.000 0.000 B
0.955 0.955 0.136 F
0.045 0.045 0.864 F

No. 7
Ba2ZnCuBi2F14 GGA-PBEsol optimized geometry; formation energy from raw total energies = -2.703 eV per atom; calculated density = 5.99 g/cm³; total magnetization = 1.01 μB per formula unit; SG = C2/c (15); E_tot = -4.992 eV/atom
1.0
-2.173 -0.226 4.669
1.306 -7.057 -2.579
14.773 -0.055 6.873
Ba Zn Cu Bi F
4 2 2 4 28
Direct
0.278 0.367 0.631 Ba
0.088 0.367 0.131 Ba
0.722 0.633 0.369 Ba
0.912 0.633 0.869 Ba
0.560 0.000 0.750 Zn
0.440 0.000 0.250 Zn
0.500 0.000 0.000 Cu
0.500 0.000 0.500 Cu
0.156 0.213 0.880 Bi
0.844 0.787 0.120 Bi
0.057 0.213 0.380 Bi
0.943 0.787 0.620 Bi
0.140 0.958 0.328 F
0.455 0.289 0.447 F
0.545 0.711 0.553 F
0.870 0.488 0.599 F
0.388 0.056 0.605 F
0.333 0.944 0.895 F
0.834 0.289 0.947 F
0.182 0.042 0.172 F
0.010 0.357 0.780 F
0.130 0.512 0.401 F
0.435 0.210 0.764 F
0.382 0.512 0.901 F
0.775 0.210 0.264 F
0.565 0.790 0.236 F
0.667 0.056 0.105 F
0.990 0.643 0.220 F
0.735 0.854 0.984 F
0.860 0.042 0.672 F
0.265 0.146 0.016 F
0.119 0.854 0.484 F
0.166 0.711 0.053 F
0.225 0.790 0.736 F
0.347 0.357 0.280 F
0.881 0.146 0.516 F
0.612 0.944 0.395 F
0.818 0.958 0.828 F
0.653 0.643 0.720 F
0.618 0.488 0.099 F

No. 8
AsIF2 GGA-PBEsol optimized geometry; formation energy from raw total energies = -0.933 eV per atom; distance to the lowest polymorph of the same formula = 0 meV per atom; calculated density = 5.10 g/cm³; total magnetization = 0.00 μB per formula unit; SG = R-3m (166); E_tot = -3.615 eV/atom
1.0
3.100 0.000 0.000
1.550 2.685 0.000
1.550 0.895 9.385
I As F
1 1 2
Direct
0.500 0.500 0.500 I
0.000 0.000 0.000 As
0.935 0.935 0.196 F
0.065 0.065 0.804 F

No. 9
SrTi3Zn GGA-PBEsol optimized geometry; formation enthalpy at 0 K = 1.870 eV/atom; calculated density = 4.91 g/cm³; total magnetization = 1.02 μB per formula unit; SG = Pm-3m (221); E_tot = -3.807 eV/atom
1.0
4.645 0.000 0.000
0.000 4.645 0.000
0.000 0.000 4.645
Sr Zn Ti
1 1 3
Direct
0.000 0.000 0.000 Sr
0.500 0.500 0.500 Zn
0.000 0.500 0.000 Ti
0.000 0.000 0.500 Ti
0.500 0.000 0.000 Ti

No. 10
ReIrS3 GGA-PBEsol optimized geometry; formation energy from raw total energies = 1.399 eV per atom; calculated density = 8.38 g/cm³; total magnetization = 2.93 μB per formula unit; SG = Pm-3m (221); E_tot = -5.863 eV/atom
1.0
-0.633 0.455 4.480
2.771 -3.526 0.750
3.549 2.834 0.214
Re S Ir
1 3 1
Direct
0.500 0.500 0.500 Re
0.000 0.500 0.000 S
0.000 0.000 0.500 S
0.500 0.000 0.000 S
0.000 0.000 0.000 Ir

No. 11
ReW3 GGA-PBEsol optimized geometry; formation enthalpy at 0 K = 0.047 eV/atom; distance to the lowest polymorph of the same formula = 14 meV per atom; calculated density = 19.89 g/cm³; total magnetization = 0.00 μB per formula unit; SG = P4/mmm (123); E_tot = -13.642 eV/atom
1.0
3.132 0.000 0.000
0.000 4.434 0.000
0.000 0.000 4.434
Re W
1 3
Direct
0.000 0.000 0.000 Re
0.500 0.000 0.500 W
0.500 0.500 0.000 W
0.000 0.500 0.500 W

No. 12
LiBi2O4 GGA-PBEsol optimized geometry; formation energy from raw total energies = -1.290 eV per atom; distance to the lowest polymorph of the same formula = 0 meV per atom; calculated density = 8.68 g/cm³; total magnetization = 0.00 μB per formula unit; SG = Pbca (61); E_tot = -5.795 eV/atom
1.0
5.402 0.000 0.000
0.000 6.057 0.000
0.000 0.000 11.435
Li Bi O
4 8 16
Direct
0.000 0.000 0.000 Li
0.000 0.500 0.500 Li
0.500 0.500 0.000 Li
0.500 0.000 0.500 Li
0.012 0.602 0.140 Bi
0.012 0.898 0.640 Bi
0.488 0.398 0.640 Bi
0.488 0.102 0.140 Bi
0.512 0.898 0.860 Bi
0.512 0.602 0.360 Bi
0.988 0.102 0.360 Bi
0.988 0.398 0.860 Bi
0.177 0.322 0.036 O
0.177 0.178 0.536 O
0.153 0.054 0.815 O
0.153 0.446 0.315 O
0.347 0.554 0.815 O
0.347 0.946 0.315 O
0.323 0.822 0.036 O
0.323 0.678 0.536 O
0.677 0.322 0.464 O
0.677 0.178 0.964 O
0.653 0.446 0.185 O
0.653 0.054 0.685 O
0.847 0.946 0.185 O
0.847 0.554 0.685 O
0.823 0.822 0.464 O
0.823 0.678 0.964 O